Here is crystalline IrPtN at its relaxed geometry from Alexandria via LeMat-Bulk. Energies are from PBE-GGA.

The formation energy from raw total energies is 0.504 eV/atom.

The structure belongs to space group C2/m (No. 12); the cell edges are 10.996, 2.717 and 5.370 Å and the angles 90.00°, 99.28° and 90.00°. The asymmetric unit holds Ir at (0.091, 0.000, 0.356), Pt at (0.193, 0.500, 0.786) and N at (0.007, 0.500, 0.877).


Here is crystalline IrPt2N at its relaxed geometry from Alexandria via LeMat-Bulk. Energies are from PBE-GGA.

The formation energy from raw total energies is 1.044 eV/atom.

The structure belongs to space group I-42d (No. 122); the cell edges are 4.811, 4.811 and 11.732 Å and the angles 90.00°, 90.00° and 90.00°. The asymmetric unit holds Ir at (0.000, 0.000, 0.000), Pt at (0.146, 0.250, 0.625) and N at (0.000, 0.000, 0.500).


Here is crystalline IrPt3N at its relaxed geometry from Alexandria via LeMat-Bulk. Energies are from PBE-GGA.

The formation energy from raw total energies is 0.803 eV/atom.

The structure belongs to space group Pm-3m (No. 221); the cell edges are 4.159, 4.159 and 4.159 Å and the angles 90.00°, 90.00° and 90.00°. The asymmetric unit holds Ir at (0.000, 0.000, 0.000), Pt at (0.000, 0.500, 0.500) and N at (0.500, 0.500, 0.500).


Here is crystalline IrPt3N at its relaxed geometry from Alexandria via LeMat-Bulk. Energies are from PBE-GGA.

The formation energy from raw total energies is 2.368 eV/atom.

The structure belongs to space group Pm-3m (No. 221); the cell edges are 4.875, 4.875 and 4.875 Å and the angles 90.00°, 90.00° and 90.00°. The asymmetric unit holds Ir at (0.000, 0.000, 0.000), Pt at (0.000, 0.000, 0.500) and N at (0.500, 0.500, 0.500).


- Look up the formation energy from raw total energies of the fourth one.
  2.368 eV/atom


- formation energy from raw total energies of number 1 (IrPtN)?
  0.504 eV/atom


- What is the formation energy from raw total energies in the second record?
  1.044 eV/atom


- Which formula does entry 1 have?
  IrPtN